1.
First-principles (meta-GGA SCAN) data for a crystal of As2H2Ru relaxed with PBEsol, as listed in Alexandria via LeMat-Bulk.

a = 6.2994 Å, b = 6.2994 Å, c = 6.2994 Å
α = 152.46°, β = 152.46°, γ = 39.34°
Last column: nearest neighbours and their distance in Å.
Positions (direct):
1 As 0.1301 0.1301 0.0000  4 H 2.07
2 As 0.8699 0.8699 0.0000  4 H 2.07
3 H 0.2500 0.7500 0.5000  4 As 2.07, 4 H 2.12
4 H 0.7500 0.2500 0.5000  4 As 2.07, 4 H 2.12
5 Ru 0.5000 0.5000 0.0000  8 As 2.62

Size of the total moment ... 0.00 μB per cell
Crystal system ... tetragonal
Electronic total energy ... -16.049 eV/atom
Space group ... No. 139

2.
First-principles (meta-GGA SCAN) data for a crystal of TiZn2TeW relaxed with PBEsol, as listed in Alexandria via LeMat-Bulk.

a = 4.8623 Å, b = 4.8623 Å, c = 4.9693 Å
α = 90.00°, β = 90.00°, γ = 90.00°
Last column: nearest neighbours and their distance in Å.
Positions (direct):
1 Ti 0.0000 0.0000 0.0000  4 W 3.44, 8 Zn 3.48
2 Zn 0.0000 0.5000 0.5000  2 Te 2.43
3 Zn 0.5000 0.0000 0.5000  2 Te 2.43
4 Te 0.5000 0.5000 0.5000  4 Zn 2.43, 2 W 2.48
5 W 0.5000 0.5000 0.0000  2 Te 2.48

Size of the total moment ... 0.25 μB per cell
Crystal system ... tetragonal
Electronic total energy ... -28.305 eV/atom
Raw formation energy ... 8.476 eV per formula unit
Space group ... No. 123

3.
First-principles (meta-GGA SCAN) data for a crystal of TlPOs relaxed with PBEsol, as listed in Alexandria via LeMat-Bulk.

a = 3.1572 Å, b = 3.1572 Å, c = 6.2147 Å
α = 90.00°, β = 90.00°, γ = 120.00°
Last column: nearest neighbours and their distance in Å.
Positions (direct):
1 Tl 0.0000 0.0000 0.0000  3 Os 2.95, 3 P 3.08, 6 Tl 3.16
2 P 0.3333 0.6667 0.4005  3 Os 2.30
3 Os 0.6667 0.3333 0.6271  3 P 2.30

Size of the total moment ... 0.00 μB per cell
Crystal system ... trigonal
Electronic total energy ... -51.264 eV/atom
E_form ... 0.8 eV per formula unit
Space group ... No. 156

4.
First-principles (meta-GGA SCAN) data for a crystal of Ba2ReHg relaxed with PBEsol, as listed in Alexandria via LeMat-Bulk.

a = 4.6516 Å, b = 4.6516 Å, c = 8.8238 Å
α = 94.86°, β = 94.86°, γ = 39.76°
Last column: nearest neighbours and their distance in Å.
Positions (direct):
1 Ba 0.2477 0.2477 0.2191  3 Re 3.06-3.19, 2 Ba 3.16
2 Ba 0.7523 0.7523 0.7809  3 Re 3.06-3.19, 2 Ba 3.16
3 Re 0.5000 0.5000 0.0000  6 Ba 3.06-3.19, 2 Re 3.16
4 Hg 0.0000 0.0000 0.5000  2 Hg 3.16, 6 Ba 3.44-3.54

Size of the total moment ... 0.27 μB per cell
Crystal system ... monoclinic
Electronic total energy ... -53.748 eV/atom
E_form ... 3.4 eV per formula unit
Space group ... No. 12

5.
First-principles (meta-GGA SCAN) data for a crystal of Sr2LiY relaxed with PBEsol, as listed in Alexandria via LeMat-Bulk.

a = 6.9431 Å, b = 6.9431 Å, c = 6.9431 Å
α = 145.65°, β = 127.87°, γ = 63.93°
Last column: nearest neighbours and their distance in Å.
Positions (direct):
1 Sr 0.2213 0.2213 0.0000  2 Li 3.32
2 Sr 0.7787 0.7787 0.0000  2 Li 3.32
3 Li 0.0000 0.5000 0.5000  4 Sr 3.32, 4 Y 3.68
4 Y 0.5000 0.0000 0.5000  4 Li 3.68, 8 Sr 3.87-4.01, 2 Y 4.10

Size of the total moment ... 0.75 μB per cell
Crystal system ... orthorhombic
Electronic total energy ... -18.464 eV/atom
E_form ... 0.9 eV per formula unit
Distance to the lowest polymorph of the same formula ... 0.098 eV/atom
Space group ... No. 71

6.
First-principles (meta-GGA SCAN) data for a crystal of CuRh3 relaxed with PBEsol, as listed in Alexandria via LeMat-Bulk.

a = 2.6570 Å, b = 4.3045 Å, c = 4.5827 Å
α = 90.00°, β = 90.00°, γ = 90.00°
Last column: nearest neighbours and their distance in Å.
Positions (direct):
1 Cu 0.0000 0.0000 0.0000  10 Rh 2.62-2.66, 2 Cu 2.66
2 Rh 0.0000 0.5000 0.3279  2 Cu 2.62, 10 Rh 2.64-2.66
3 Rh 0.5000 0.0000 0.5018  8 Rh 2.63-2.66, 4 Cu 2.64-2.66
4 Rh 0.5000 0.5000 0.8310  8 Rh 2.63-2.66, 4 Cu 2.65

Size of the total moment ... 0.00 μB per cell
Crystal system ... orthorhombic
Electronic total energy ... -29.039 eV/atom
E_form ... 0.4 eV per formula unit
Space group ... No. 25

7.
First-principles (meta-GGA SCAN) data for a crystal of Cs2LiPrF6 relaxed with PBEsol, as listed in Alexandria via LeMat-Bulk.

a = 6.2778 Å, b = 6.2778 Å, c = 6.2778 Å
α = 60.00°, β = 60.00°, γ = 60.00°
Last column: nearest neighbours and their distance in Å.
Positions (direct):
1 Cs 0.2500 0.2500 0.2500  12 F 3.14
2 Cs 0.7500 0.7500 0.7500  12 F 3.14
3 Li 0.0000 0.0000 0.0000  6 F 2.15
4 Pr 0.5000 0.5000 0.5000  6 F 2.29
5 F 0.2420 0.2420 0.7580  1 Li 2.15, 1 Pr 2.29
6 F 0.2420 0.7580 0.2420  1 Li 2.15, 1 Pr 2.29
7 F 0.2420 0.7580 0.7580  1 Li 2.15, 1 Pr 2.29
8 F 0.7580 0.2420 0.2420  1 Li 2.15, 1 Pr 2.29
9 F 0.7580 0.2420 0.7580  1 Li 2.15, 1 Pr 2.29
10 F 0.7580 0.7580 0.2420  1 Li 2.15, 1 Pr 2.29

Size of the total moment ... 0.00 μB per cell
Crystal system ... cubic
Electronic total energy ... -17.738 eV/atom
Raw formation energy ... -34.808 eV per formula unit
Space group ... No. 225

8.
First-principles (meta-GGA SCAN) data for a crystal of HgH3Au relaxed with PBEsol, as listed in Alexandria via LeMat-Bulk.

a = 3.7754 Å, b = 3.7754 Å, c = 3.7754 Å
α = 90.00°, β = 90.00°, γ = 90.00°
Last column: nearest neighbours and their distance in Å.
Positions (direct):
1 Hg 0.0000 0.0000 0.0000  12 H 2.67
2 H 0.0000 0.5000 0.5000  2 Au 1.89
3 H 0.5000 0.0000 0.5000  2 Au 1.89
4 H 0.5000 0.5000 0.0000  2 Au 1.89
5 Au 0.5000 0.5000 0.5000  6 H 1.89

Size of the total moment ... 0.00 μB per cell
Crystal system ... cubic
Electronic total energy ... -29.069 eV/atom
Space group ... No. 221